Record 1
DFT (PBE-GGA) results for a relaxed PaAl12Ni4 crystal.

Structure (CIF):
```
data_PaAl12Ni4
_chemical_formula_sum 'Pa1 Al12 Ni4'
_symmetry_space_group_name_H-M 'P 1'
_symmetry_Int_Tables_number 1
_cell_length_a 7.3246
_cell_length_b 7.3246
_cell_length_c 7.3246
_cell_angle_alpha 109.47
_cell_angle_beta 109.47
_cell_angle_gamma 109.47
loop_
_symmetry_equiv_pos_as_xyz
'x,y,z'
loop_
_atom_site_label
_atom_site_type_symbol
_atom_site_fract_x
_atom_site_fract_y
_atom_site_fract_z
_atom_site_occupancy
Pa1 Pa 0.0000 0.0000 0.0000 1
Al1 Al 0.1607 0.8279 0.3327 1
Al2 Al 0.1721 0.3327 0.5048 1
Al3 Al 0.1721 0.6673 0.8393 1
Al4 Al 0.3327 0.1607 0.8279 1
Al5 Al 0.3327 0.5048 0.1721 1
Al6 Al 0.4952 0.8279 0.6673 1
Al7 Al 0.5048 0.1721 0.3327 1
Al8 Al 0.6673 0.4952 0.8279 1
Al9 Al 0.6673 0.8393 0.1721 1
Al10 Al 0.8279 0.3327 0.1607 1
Al11 Al 0.8279 0.6673 0.4952 1
Al12 Al 0.8393 0.1721 0.6673 1
Ni1 Ni 0.0000 0.0000 0.5000 1
Ni2 Ni 0.0000 0.5000 0.0000 1
Ni3 Ni 0.5000 0.0000 0.0000 1
Ni4 Ni 0.5000 0.5000 0.5000 1
```

Summary:
Crystal system   cubic
Electronic total energy   -4.619 eV/atom

---

Record 2
DFT (PBE-GGA) results for a relaxed Pa4Al16Ni3 crystal.

Structure (CIF):
```
data_Pa4Al16Ni3
_chemical_formula_sum 'Pa4 Al16 Ni3'
_symmetry_space_group_name_H-M 'P 1'
_symmetry_Int_Tables_number 1
_cell_length_a 6.0790
_cell_length_b 6.0790
_cell_length_c 11.1945
_cell_angle_alpha 90.00
_cell_angle_beta 90.00
_cell_angle_gamma 90.00
loop_
_symmetry_equiv_pos_as_xyz
'x,y,z'
loop_
_atom_site_label
_atom_site_type_symbol
_atom_site_fract_x
_atom_site_fract_y
_atom_site_fract_z
_atom_site_occupancy
Pa1 Pa 0.0000 0.5000 0.1894 1
Pa2 Pa 0.0000 0.5000 0.8106 1
Pa3 Pa 0.5000 0.0000 0.1894 1
Pa4 Pa 0.5000 0.0000 0.8106 1
Al1 Al 0.0000 0.0000 0.1992 1
Al2 Al 0.0000 0.0000 0.8008 1
Al3 Al 0.2212 0.2212 0.0000 1
Al4 Al 0.2212 0.7788 0.0000 1
Al5 Al 0.2459 0.2459 0.3819 1
Al6 Al 0.2459 0.2459 0.6181 1
Al7 Al 0.2459 0.7541 0.3819 1
Al8 Al 0.2459 0.7541 0.6181 1
Al9 Al 0.5000 0.5000 0.2207 1
Al10 Al 0.5000 0.5000 0.7793 1
Al11 Al 0.7541 0.2459 0.3819 1
Al12 Al 0.7541 0.2459 0.6181 1
Al13 Al 0.7541 0.7541 0.3819 1
Al14 Al 0.7541 0.7541 0.6181 1
Al15 Al 0.7788 0.2212 0.0000 1
Al16 Al 0.7788 0.7788 0.0000 1
Ni1 Ni 0.0000 0.5000 0.5000 1
Ni2 Ni 0.5000 0.0000 0.5000 1
Ni3 Ni 0.5000 0.5000 0.0000 1
```

Summary:
Crystal system   tetragonal
Electronic total energy   -5.370 eV/atom

---

Record 3
DFT (PBE-GGA) results for a relaxed Pa2Al5Ni3 crystal.

Structure (CIF):
```
data_Pa2Al5Ni3
_chemical_formula_sum 'Pa4 Al10 Ni6'
_symmetry_space_group_name_H-M 'P 1'
_symmetry_Int_Tables_number 1
_cell_length_a 12.2483
_cell_length_b 12.2483
_cell_length_c 6.6193
_cell_angle_alpha 90.00
_cell_angle_beta 90.00
_cell_angle_gamma 160.42
loop_
_symmetry_equiv_pos_as_xyz
'x,y,z'
loop_
_atom_site_label
_atom_site_type_symbol
_atom_site_fract_x
_atom_site_fract_y
_atom_site_fract_z
_atom_site_occupancy
Pa1 Pa 0.0221 0.9779 0.5000 1
Pa2 Pa 0.3270 0.6730 0.4487 1
Pa3 Pa 0.6730 0.3270 0.9487 1
Pa4 Pa 0.9779 0.0221 0.0000 1
Al1 Al 0.1003 0.8997 0.1371 1
Al2 Al 0.2070 0.7930 0.6361 1
Al3 Al 0.2113 0.7887 0.2430 1
Al4 Al 0.3714 0.6286 0.9724 1
Al5 Al 0.4456 0.5544 0.3280 1
Al6 Al 0.5544 0.4456 0.8280 1
Al7 Al 0.6286 0.3714 0.4724 1
Al8 Al 0.7887 0.2113 0.7430 1
Al9 Al 0.7930 0.2070 0.1361 1
Al10 Al 0.8997 0.1003 0.6371 1
Ni1 Ni 0.1082 0.8918 0.7431 1
Ni2 Ni 0.2693 0.7307 0.9372 1
Ni3 Ni 0.4515 0.5485 0.7168 1
Ni4 Ni 0.5485 0.4515 0.2168 1
Ni5 Ni 0.7307 0.2693 0.4372 1
Ni6 Ni 0.8918 0.1082 0.2431 1
```

Summary:
Crystal system   orthorhombic
Electronic total energy   -5.993 eV/atom